(1)
Material: Tm4MgPb5
Method: DFT, PBE
State: relaxed

Unit cell a=3.505 b=3.505 c=22.161 alpha=90.00 beta=90.00 gamma=90.00
Positions (direct):
Tm 0.000 0.000 0.101
Tm 0.000 0.000 0.300
Tm 0.000 0.000 0.700
Tm 0.000 0.000 0.899
Mg 0.000 0.000 0.500
Pb 0.500 0.500 0.000
Pb 0.500 0.500 0.201
Pb 0.500 0.500 0.404
Pb 0.500 0.500 0.596
Pb 0.500 0.500 0.799

Output
Mass density: 10.6 g cm⁻³
Electronic total energy: -0.301 Ry/atom
Energy relative to the elements: -0.296 eV per atom
Polymorph energy (0 for the lowest one): 0.000 eV/atom
SG: P4/mmm



(2)
Material: Y2ZnCu
Method: DFT, PBE
State: relaxed

Unit cell a=5.999 b=5.999 c=4.820 alpha=113.61 beta=113.61 gamma=33.81
Positions (direct):
Y 0.000 0.000 0.000
Y 0.214 0.214 0.714
Zn 0.430 0.430 0.430
Cu 0.750 0.750 0.249

Output
Mass density: 5.8 g cm⁻³
Electronic total energy: -0.349 Ry/atom
Energy relative to the elements: -0.179 eV per atom
SG: Cm



(3)
Material: YMgBr3
Method: DFT, PBE
State: relaxed

Unit cell a=5.641 b=5.641 c=5.641 alpha=90.00 beta=90.00 gamma=90.00
Positions (direct):
Y 0.000 0.000 0.000
Mg 0.500 0.500 0.500
Br 0.000 0.000 0.500
Br 0.000 0.500 0.000
Br 0.500 0.000 0.000

Output
Mass density: 3.3 g cm⁻³
Electronic total energy: -0.274 Ry/atom
Formation energy (no corrections): -5.56 eV/f.u.
Polymorph energy (0 for the lowest one): 0.000 eV/atom
SG: Pm-3m



(4)
Material: HoTm2S4
Method: DFT, PBE
State: relaxed

Unit cell a=6.636 b=6.636 c=12.983 alpha=90.00 beta=90.00 gamma=147.05
Positions (direct):
Ho 0.127 0.873 0.750
Ho 0.873 0.127 0.250
Tm 0.370 0.630 0.569
Tm 0.370 0.630 0.931
Tm 0.630 0.370 0.069
Tm 0.630 0.370 0.431
S 0.000 0.000 0.000
S 0.000 0.000 0.500
S 0.276 0.724 0.122
S 0.276 0.724 0.378
S 0.471 0.529 0.750
S 0.529 0.471 0.250
S 0.724 0.276 0.622
S 0.724 0.276 0.878

Output
Mass density: 6.7 g cm⁻³
Electronic total energy: -0.465 Ry/atom
Formation energy (no corrections): -14.27 eV/f.u.
Polymorph energy (0 for the lowest one): 0.030 eV/atom
SG: Cmcm



(5)
Material: Sr3AgBr2Cl6
Method: DFT, PBE
State: relaxed

Unit cell a=8.372 b=8.372 c=6.432 alpha=92.65 beta=92.65 gamma=62.09
Positions (direct):
Sr 0.000 0.000 0.000
Sr 0.000 0.500 0.500
Sr 0.500 0.000 0.500
Ag 0.500 0.500 0.500
Br 0.190 0.190 0.801
Br 0.810 0.810 0.199
Cl 0.177 0.677 0.730
Cl 0.323 0.823 0.270
Cl 0.351 0.351 0.290
Cl 0.649 0.649 0.710
Cl 0.677 0.177 0.730
Cl 0.823 0.323 0.270

Output
Mass density: 3.1 g cm⁻³
Electronic total energy: -0.268 Ry/atom
Formation energy (no corrections): -21.43 eV/f.u.
SG: C2/m



(6)
Material: LiYAg2
Method: DFT, PBE
State: relaxed

Unit cell a=9.810 b=9.810 c=9.810 alpha=18.88 beta=18.88 gamma=18.88
Positions (direct):
Li 0.000 0.000 0.000
Y 0.235 0.235 0.235
Ag 0.481 0.481 0.481
Ag 0.737 0.737 0.737

Output
Mass density: 6.0 g cm⁻³
Electronic total energy: -0.254 Ry/atom
Energy relative to the elements: 0.064 eV per atom
SG: R3m



(7)
Material: U2Co2PbS6
Method: DFT, PBE
State: relaxed

Unit cell a=5.496 b=6.756 c=6.937 alpha=105.35 beta=106.27 gamma=104.61
Positions (direct):
U 0.106 0.207 0.323
U 0.894 0.793 0.677
Co 0.304 0.812 0.396
Co 0.696 0.188 0.604
Pb 0.500 0.500 0.000
S 0.062 0.791 0.072
S 0.307 0.096 0.649
S 0.334 0.632 0.624
S 0.666 0.368 0.376
S 0.693 0.904 0.351
S 0.938 0.209 0.928

Output
Mass density: 7.4 g cm⁻³
Electronic total energy: -0.497 Ry/atom
Formation energy (no corrections): -9.13 eV/f.u.
SG: P-1



(8)
Material: La2SmCuTe5
Method: DFT, PBE
State: relaxed

Unit cell a=9.900 b=9.900 c=13.148 alpha=90.00 beta=90.00 gamma=154.33
Positions (direct):
La 0.110 0.890 0.500
La 0.121 0.879 0.125
La 0.879 0.121 0.625
La 0.890 0.110 0.000
Sm 0.191 0.809 0.825
Sm 0.809 0.191 0.325
Cu 0.430 0.570 0.269
Cu 0.570 0.430 0.769
Te 0.040 0.960 0.873
Te 0.289 0.711 0.490
Te 0.313 0.687 0.157
Te 0.357 0.643 0.815
Te 0.499 0.501 0.097
Te 0.501 0.499 0.597
Te 0.643 0.357 0.315
Te 0.687 0.313 0.657
Te 0.711 0.289 0.990
Te 0.960 0.040 0.373

Output
Mass density: 6.7 g cm⁻³
Electronic total energy: -0.376 Ry/atom
Formation energy (no corrections): -11.72 eV/f.u.
SG: Cmc2_1